(1)
# Ba4Al3Pd2

Crystalline Ba4Al3Pd2 at its relaxed geometry (GGA-PBE, the Alexandria database).

The calculated volume is 31.8 A^3/atom. As for the crystal system: monoclinic. The value obtained for the formation energy is -0.406 eV per atom.

Geometry as CIF:
```
data_Ba4Al3Pd2
_chemical_formula_sum 'Ba8 Al6 Pd4'
_space_group_name_H-M_alt 'C 1 2/m 1'
_space_group_IT_number 12
_cell_length_a 17.782
_cell_length_b 4.235
_cell_length_c 8.006
_cell_angle_alpha 90.00
_cell_angle_beta 108.24
_cell_angle_gamma 90.00
loop_
_space_group_symop_operation_xyz
'x,y,z'
'-x,-y,-z'
'-x,y,-z'
'x,-y,z'
'x+1/2,y+1/2,z'
'-x+1/2,-y+1/2,-z'
'-x+1/2,y+1/2,-z'
'x+1/2,-y+1/2,z'
loop_
_atom_site_label
_atom_site_type_symbol
_atom_site_fract_x
_atom_site_fract_y
_atom_site_fract_z
Ba1 Ba 0.079 0.000 0.398
Ba2 Ba 0.234 0.500 0.194
Al1 Al 0.000 0.500 0.000
Al2 Al 0.094 0.500 0.781
Pd1 Pd 0.079 0.000 0.952
```

***

(2)
# Ce3Pr2ErAs6

Crystalline Ce3Pr2ErAs6 at its relaxed geometry (GGA-PBE, the Alexandria database).

The calculated volume is 26.7 A^3/atom. As for the crystal system: monoclinic. The value obtained for the formation energy is -1.462 eV per atom.

Geometry as CIF:
```
data_Ce3Pr2ErAs6
_chemical_formula_sum 'Ce6 Pr4 Er2 As12'
_space_group_name_H-M_alt 'C 1 2/m 1'
_space_group_IT_number 12
_cell_length_a 7.321
_cell_length_b 12.680
_cell_length_c 7.316
_cell_angle_alpha 90.00
_cell_angle_beta 109.51
_cell_angle_gamma 90.00
loop_
_space_group_symop_operation_xyz
'x,y,z'
'-x,-y,-z'
'-x,y,-z'
'x,-y,z'
'x+1/2,y+1/2,z'
'-x+1/2,-y+1/2,-z'
'-x+1/2,y+1/2,-z'
'x+1/2,-y+1/2,z'
loop_
_atom_site_label
_atom_site_type_symbol
_atom_site_fract_x
_atom_site_fract_y
_atom_site_fract_z
Ce1 Ce 0.000 0.000 0.000
Ce2 Ce 0.000 0.332 0.000
Pr1 Pr 0.000 0.166 0.500
Er1 Er 0.000 0.500 0.500
As1 As 0.241 0.500 0.246
As2 As 0.247 0.337 0.753
```

***

(3)
# La2SbO

Crystalline La2SbO at its relaxed geometry (GGA-PBE, the Alexandria database).

The calculated volume is 25.2 A^3/atom. As for the crystal system: trigonal. For the uncorrected formation energy, the calculation gives -1.819 eV per atom.

Geometry as CIF:
```
data_La2SbO
_chemical_formula_sum 'La6 Sb3 O3'
_space_group_name_H-M_alt 'R -3 m'
_space_group_IT_number 166
_space_group_name_Hall '-R 3 2"'
_cell_length_a 4.0998
_cell_length_b 4.0998
_cell_length_c 20.7374
_cell_angle_alpha 90.00
_cell_angle_beta 90.00
_cell_angle_gamma 120.00
loop_
_atom_site_label
_atom_site_type_symbol
_atom_site_fract_x
_atom_site_fract_y
_atom_site_fract_z
La1 La 0.0000 0.0000 0.2329
Sb1 Sb 0.0000 0.0000 0.0000
O1 O 0.0000 0.0000 0.5000
```

***

(4)
# ZnH2Au2

Crystalline ZnH2Au2 at its relaxed geometry (GGA-PBE, the Alexandria database).

The calculated volume is 13.2 A^3/atom. As for the crystal system: tetragonal. The calculated total energy is -2.69 eV per atom.

Geometry as CIF:
```
data_ZnH2Au2
_chemical_formula_sum 'Zn2 H4 Au4'
_space_group_name_H-M_alt 'P 4/m b m'
_space_group_IT_number 127
_space_group_name_Hall '-P 4 2ab'
_cell_length_a 6.843
_cell_length_b 6.843
_cell_length_c 2.829
_cell_angle_alpha 90.00
_cell_angle_beta 90.00
_cell_angle_gamma 90.00
loop_
_atom_site_label
_atom_site_type_symbol
_atom_site_fract_x
_atom_site_fract_y
_atom_site_fract_z
Zn1 Zn 0.000 0.000 0.000
H1 H 0.092 0.408 0.000
Au1 Au 0.201 0.299 0.500
```

***

(5)
# SrHf2CrGe

Crystalline SrHf2CrGe at its relaxed geometry (GGA-PBE, the Alexandria database).

The calculated volume is 26.0 A^3/atom. As for the crystal system: tetragonal. The value obtained for the formation energy is 0.790 eV per atom.

Geometry as CIF:
```
data_SrHf2CrGe
_chemical_formula_sum 'Sr1 Hf2 Cr1 Ge1'
_space_group_name_H-M_alt 'P 4/m m m'
_space_group_IT_number 123
_space_group_name_Hall '-P 4 2'
_cell_length_a 4.839
_cell_length_b 4.839
_cell_length_c 5.550
_cell_angle_alpha 90.00
_cell_angle_beta 90.00
_cell_angle_gamma 90.00
loop_
_atom_site_label
_atom_site_type_symbol
_atom_site_fract_x
_atom_site_fract_y
_atom_site_fract_z
Sr1 Sr 0.000 0.000 0.000
Hf1 Hf 0.000 0.500 0.500
Cr1 Cr 0.000 0.000 0.500
Ge1 Ge 0.500 0.500 0.000
```

***

(6)
# CuPd2Au

Crystalline CuPd2Au at its relaxed geometry (GGA-PBE, the Alexandria database).

The calculated volume is 16.7 A^3/atom. As for the crystal system: tetragonal. The value obtained for the formation energy is 0.226 eV per atom.

Geometry as CIF:
```
data_CuPd2Au
_chemical_formula_sum 'Cu4 Pd8 Au4'
_space_group_name_H-M_alt 'I -4 2 d'
_space_group_IT_number 122
_space_group_name_Hall 'I -4 2bw'
_cell_length_a 7.108
_cell_length_b 7.108
_cell_length_c 5.297
_cell_angle_alpha 90.00
_cell_angle_beta 90.00
_cell_angle_gamma 90.00
loop_
_atom_site_label
_atom_site_type_symbol
_atom_site_fract_x
_atom_site_fract_y
_atom_site_fract_z
Cu1 Cu 0.000 0.000 0.000
Pd1 Pd 0.224 0.250 0.125
Au1 Au 0.000 0.000 0.500
```

***

(7)
# RbHfAsO5

Crystalline RbHfAsO5 at its relaxed geometry (GGA-PBE, the Alexandria database).

The calculated volume is 15.4 A^3/atom. As for the crystal system: monoclinic. For the uncorrected formation energy, the calculation gives -2.234 eV per atom.

Geometry as CIF:
```
data_RbHfAsO5
_chemical_formula_sum 'Rb4 Hf4 As4 O20'
_space_group_name_H-M_alt 'C 1 2/c 1'
_space_group_IT_number 15
_cell_length_a 7.348
_cell_length_b 9.655
_cell_length_c 7.728
_cell_angle_alpha 90.00
_cell_angle_beta 115.98
_cell_angle_gamma 90.00
loop_
_space_group_symop_operation_xyz
'x,y,z'
'-x,-y,-z'
'-x,y,-z+1/2'
'x,-y,z+1/2'
'x+1/2,y+1/2,z'
'-x+1/2,-y+1/2,-z'
'-x+1/2,y+1/2,-z+1/2'
'x+1/2,-y+1/2,z+1/2'
loop_
_atom_site_label
_atom_site_type_symbol
_atom_site_fract_x
_atom_site_fract_y
_atom_site_fract_z
Rb1 Rb 0.000 0.169 0.250
Hf1 Hf 0.000 0.500 0.000
As1 As 0.000 0.190 0.750
O1 O 0.000 0.446 0.250
O2 O 0.081 0.293 0.613
O3 O 0.194 0.083 0.898
```

***

(8)
# K2LiSiP2

Crystalline K2LiSiP2 at its relaxed geometry (GGA-PBE, the Alexandria database).

The calculated volume is 23.5 A^3/atom. As for the crystal system: orthorhombic. For the uncorrected formation energy, the calculation gives -0.384 eV per atom.

Geometry as CIF:
```
data_K2LiSiP2
_chemical_formula_sum 'K8 Li4 Si4 P8'
_space_group_name_H-M_alt 'I b a m'
_space_group_IT_number 72
_space_group_name_Hall '-I 2 2c'
_cell_length_a 6.211
_cell_length_b 14.701
_cell_length_c 6.176
_cell_angle_alpha 90.00
_cell_angle_beta 90.00
_cell_angle_gamma 90.00
loop_
_atom_site_label
_atom_site_type_symbol
_atom_site_fract_x
_atom_site_fract_y
_atom_site_fract_z
K1 K 0.228 0.174 0.000
Li1 Li 0.000 0.000 0.250
Si1 Si 0.000 0.500 0.250
P1 P 0.217 0.416 0.000
```

***

(9)
# RbCd2HOs

Crystalline RbCd2HOs at its relaxed geometry (GGA-PBE, the Alexandria database).

The calculated volume is 20.0 A^3/atom. As for the crystal system: tetragonal. The calculated total energy is -2.33 eV per atom.

Geometry as CIF:
```
data_RbCd2HOs
_chemical_formula_sum 'Rb1 Cd2 H1 Os1'
_space_group_name_H-M_alt 'P 4/m m m'
_space_group_IT_number 123
_space_group_name_Hall '-P 4 2'
_cell_length_a 4.573
_cell_length_b 4.573
_cell_length_c 4.779
_cell_angle_alpha 90.00
_cell_angle_beta 90.00
_cell_angle_gamma 90.00
loop_
_atom_site_label
_atom_site_type_symbol
_atom_site_fract_x
_atom_site_fract_y
_atom_site_fract_z
Rb1 Rb 0.000 0.000 0.000
Cd1 Cd 0.000 0.500 0.500
H1 H 0.000 0.000 0.500
Os1 Os 0.500 0.500 0.000
```

***

(10)
# La2ScSe

Crystalline La2ScSe at its relaxed geometry (GGA-PBE, the Alexandria database).

The calculated volume is 30.1 A^3/atom. As for the crystal system: tetragonal. For the uncorrected formation energy, the calculation gives -0.498 eV per atom.

Geometry as CIF:
```
data_La2ScSe
_chemical_formula_sum 'La8 Sc4 Se4'
_space_group_name_H-M_alt 'I -4 2 d'
_space_group_IT_number 122
_space_group_name_Hall 'I -4 2bw'
_cell_length_a 9.052
_cell_length_b 9.052
_cell_length_c 5.873
_cell_angle_alpha 90.00
_cell_angle_beta 90.00
_cell_angle_gamma 90.00
loop_
_atom_site_label
_atom_site_type_symbol
_atom_site_fract_x
_atom_site_fract_y
_atom_site_fract_z
La1 La 0.194 0.250 0.125
Sc1 Sc 0.000 0.000 0.500
Se1 Se 0.000 0.000 0.000
```

***

(11)
# HoSb2SO4

Crystalline HoSb2SO4 at its relaxed geometry (GGA-PBE, the Alexandria database).

The calculated volume is 15.0 A^3/atom. As for the crystal system: tetragonal. For the uncorrected formation energy, the calculation gives -1.780 eV per atom.

Geometry as CIF:
```
data_HoSb2SO4
_chemical_formula_sum 'Ho1 Sb2 S1 O4'
_space_group_name_H-M_alt 'P 4/m m m'
_space_group_IT_number 123
_space_group_name_Hall '-P 4 2'
_cell_length_a 3.727
_cell_length_b 3.727
_cell_length_c 8.643
_cell_angle_alpha 90.00
_cell_angle_beta 90.00
_cell_angle_gamma 90.00
loop_
_atom_site_label
_atom_site_type_symbol
_atom_site_fract_x
_atom_site_fract_y
_atom_site_fract_z
Ho1 Ho 0.000 0.000 0.000
Sb1 Sb 0.500 0.500 0.290
S1 S 0.000 0.000 0.500
O1 O 0.000 0.500 0.163
```

***

(12)
# NaUTi2O8

Crystalline NaUTi2O8 at its relaxed geometry (GGA-PBE, the Alexandria database).

The calculated volume is 12.6 A^3/atom. As for the crystal system: monoclinic. For the uncorrected formation energy, the calculation gives -2.656 eV per atom.

Geometry as CIF:
```
data_NaUTi2O8
_chemical_formula_sum 'Na1 U1 Ti2 O8'
_space_group_name_H-M_alt 'P 1 2/m 1'
_space_group_IT_number 10
_cell_length_a 4.893
_cell_length_b 6.328
_cell_length_c 4.898
_cell_angle_alpha 90.00
_cell_angle_beta 92.14
_cell_angle_gamma 90.00
loop_
_space_group_symop_operation_xyz
'x,y,z'
'-x,-y,-z'
'-x,y,-z'
'x,-y,z'
loop_
_atom_site_label
_atom_site_type_symbol
_atom_site_fract_x
_atom_site_fract_y
_atom_site_fract_z
Na1 Na 0.000 0.000 0.000
U1 U 0.000 0.500 0.000
Ti1 Ti 0.500 0.226 0.500
O1 O 0.217 0.277 0.216
O2 O 0.305 0.500 0.693
O3 O 0.326 0.000 0.672
```

***

no.,density of states at the Fermi level (states/eV/atom)
1,0.877
2,1.415
3,0.684
4,0.054
5,1.107
6,0.645
7,0.000
8,0.296
9,0.548
10,1.315
11,0.261
12,0.389